# LiCr3O (PBE with a Hubbard U, optimized geometry)
data_LiCr3O
_symmetry_space_group_name_H-M 'P m -3 m'
_symmetry_Int_Tables_number 221
_symmetry_space_group_name_Hall '-P 4 2 3'
_cell_length_a 4.643
_cell_length_b 4.643
_cell_length_c 4.643
_cell_angle_alpha 90.00
_cell_angle_beta 90.00
_cell_angle_gamma 90.00
loop_
_atom_site_label
_atom_site_type_symbol
_atom_site_fract_x
_atom_site_fract_y
_atom_site_fract_z
_atom_site_occupancy
Li1 Li 0.000 0.000 0.000 1
Cr1 Cr 0.000 0.000 0.500 1
O1 O 0.500 0.500 0.500 1
# ΔE to the lowest computed polymorph	1396	meV per atom
# magnetic moment	14.88	μB per formula unit